# 1
GGA-PBE KTcSn2, relaxed; energy relative to the lowest polymorph listed for this composition = 0 meV per atom; size of the total moment = 0.0 μB per formula unit; density = 3.8 g/cm3; E_form = 0.3333 eV per atom; uncorrected energy = -36.3 eV per cell; DOS at the Fermi energy = 0.04 states/eV per atom
1.0
-6.131 -2.221 -0.335
1.779 -4.206 -4.667
-0.548 -8.524 2.906
K Sn Tc
2 4 2
Cartesian
-2.176 -3.214 -2.501
-0.473 -7.972 -2.131
-5.285 -4.602 -0.151
-4.384 -6.701 -2.484
-2.489 -7.748 1.475
-5.552 -8.866 1.298
0.000 0.000 0.000
-4.428 -6.980 0.035



# 2
GGA-PBE BAsBr2F, relaxed; energy relative to the lowest polymorph listed for this composition = 314 meV per atom; size of the total moment = 0.0 μB per formula unit; density = 3.6 g/cm3; raw formation energy = 0.78 eV per atom; uncorrected energy = -12.7 eV per cell; DOS at the Fermi energy = 0.14 states/eV per atom
1.0
5.615 0.000 0.000
0.000 5.615 0.000
0.000 0.000 3.852
As B Br F
1 1 2 1
Cartesian
0.000 0.000 1.926
2.807 2.807 1.926
0.000 2.807 0.000
2.807 0.000 0.000
0.000 0.000 0.000



# 3
GGA-PBE Re2WCl, relaxed; energy relative to the lowest polymorph listed for this composition = 194 meV per atom; size of the total moment = 0.0 μB per formula unit; density = 15.3 g/cm3; raw formation energy = 0.65 eV per atom; uncorrected energy = -37.1 eV per cell; DOS at the Fermi energy = 0.89 states/eV per atom
1.0
-0.781 0.921 -2.536
0.253 -2.792 0.163
-8.548 -0.634 2.402
Cl Re W
1 2 1
Cartesian
-6.675 -1.411 0.615
-0.080 -0.006 0.023
-4.194 -0.311 1.178
-2.401 -1.094 -0.586



# 4
GGA-PBE PmNd2Os, relaxed; energy relative to the lowest polymorph listed for this composition = 489 meV per atom; size of the total moment = 0.0 μB per formula unit; density = 8.1 g/cm3; E_form = 0.3779 eV per atom; uncorrected energy = -24.0 eV per cell; DOS at the Fermi energy = 1.40 states/eV per atom
1.0
3.650 0.000 0.000
1.825 3.161 0.000
1.825 1.054 11.051
Nd Os Pm
2 1 1
Cartesian
1.825 1.054 7.463
5.475 3.161 3.588
3.650 2.107 5.526
0.000 0.000 0.000



# 5
GGA-PBE Cs4Ho3PaS8, relaxed; size of the total moment = 1.6 μB per formula unit; density = 5.4 g/cm3; raw formation energy = -1.71 eV per atom; uncorrected energy = -87.1 eV per cell; DOS at the Fermi energy = 0.60 states/eV per atom
1.0
-3.654 -3.544 -6.407
-6.530 -3.554 5.691
0.893 8.133 0.217
Cs Ho Pa S
4 3 1 8
Cartesian
-1.827 -1.772 -3.203
-1.380 2.294 -3.095
0.000 0.000 0.000
0.447 4.066 0.109
-5.092 -3.549 -0.358
-4.646 0.517 -0.249
-2.819 2.289 2.954
-3.265 -1.777 2.846
-4.430 4.535 2.631
-4.877 0.468 2.523
-2.598 2.339 0.188
-6.258 2.762 -0.572
-3.034 -1.729 0.074
-6.693 -1.305 -0.686
-4.414 0.566 -3.021
-4.861 -3.501 -3.130



# 6
GGA-PBE Er4Tm6Zr, relaxed; size of the total moment = 1.3 μB per formula unit; density = 9.0 g/cm3; E_form = 0.1527 eV per atom; uncorrected energy = -103.9 eV per cell; DOS at the Fermi energy = 1.51 states/eV per atom
1.0
8.645 0.000 0.000
0.000 8.645 0.000
0.000 0.000 8.725
Er Tm Zr
8 12 2
Cartesian
3.058 1.265 2.181
1.265 5.587 6.543
5.587 7.380 6.543
7.380 3.058 6.543
3.058 1.265 6.543
1.265 5.587 2.181
7.380 3.058 2.181
5.587 7.380 2.181
3.002 7.337 4.362
7.324 5.631 0.000
5.631 1.321 0.000
1.308 3.002 4.362
0.000 0.000 1.512
4.322 4.322 2.850
3.014 7.324 0.000
0.000 0.000 7.212
1.321 3.014 0.000
4.322 4.322 5.875
7.337 5.643 4.362
5.643 1.308 4.362
4.322 4.322 0.000
0.000 0.000 4.362



Among the records above, which one has the highest density?
Re2WCl